Material: CaNdTl2
Method: DFT, PBE
State: relaxed

POSCAR file:
```
CaNdTl2
1.0
3.876 0.000 0.000
0.000 3.876 0.000
0.000 0.000 7.860
Ca Nd Tl
1 1 2
Direct
0.000 0.000 0.000
0.000 0.000 0.500
0.500 0.500 0.246
0.500 0.500 0.754
```

---

Material: Ca5NdTl6
Method: DFT, PBE
State: relaxed

POSCAR file:
```
Ca5NdTl6
1.0
8.671 -3.915 0.000
8.671 3.915 0.000
-1.726 0.000 5.209
Ca Nd Tl
5 1 6
Direct
0.000 0.000 0.000
0.167 0.167 0.667
0.331 0.331 0.332
0.669 0.669 0.668
0.833 0.833 0.333
0.500 0.500 0.000
0.081 0.586 0.834
0.247 0.753 0.500
0.414 0.919 0.166
0.586 0.081 0.834
0.753 0.247 0.500
0.919 0.414 0.166
```

---

Material: CaNdTl2
Method: DFT, PBE
State: relaxed

POSCAR file:
```
CaNdTl2
1.0
1.921 1.109 9.976
-1.921 1.109 9.976
0.000 -2.218 9.976
Ca Nd Tl
1 1 2
Direct
0.000 0.000 0.000
0.500 0.500 0.500
0.251 0.251 0.251
0.749 0.749 0.749
```

---

Material: Ca3Nd2Tl4
Method: DFT, PBE
State: relaxed

Results
E above lowest polymorph, eV per formula unit: 0.00

POSCAR file:
```
Ca3Nd2Tl4
1.0
5.475 0.000 0.000
-2.738 4.742 0.000
0.000 0.000 10.667
Ca Nd Tl
3 2 4
Direct
0.000 0.000 0.000
0.333 0.667 0.420
0.667 0.333 0.580
0.333 0.667 0.796
0.667 0.333 0.204
0.000 0.000 0.341
0.000 0.000 0.659
0.333 0.667 0.107
0.667 0.333 0.893
```

---

Material: CaNdTl4
Method: DFT, PBE
State: relaxed

Results
E above lowest polymorph, eV per formula unit: 0.00

POSCAR file:
```
CaNdTl4
1.0
5.050 0.000 0.000
2.503 5.904 0.000
2.525 -0.925 5.934
Ca Nd Tl
1 1 4
Direct
0.000 0.000 0.000
0.500 0.500 0.500
0.185 0.483 0.147
0.310 0.024 0.357
0.690 0.976 0.643
0.815 0.517 0.853
```

---

Material: CaNd3Tl4
Method: DFT, PBE
State: relaxed

Results
E above lowest polymorph, eV per formula unit: 0.00

POSCAR file:
```
CaNd3Tl4
1.0
3.900 0.000 0.000
0.000 3.900 0.000
0.000 0.000 15.617
Ca Nd Tl
1 3 4
Direct
0.000 0.000 0.000
0.000 0.000 0.247
0.000 0.000 0.500
0.000 0.000 0.753
0.500 0.500 0.123
0.500 0.500 0.376
0.500 0.500 0.624
0.500 0.500 0.877
```

---

Material: Ca2Nd3Tl3
Method: DFT, PBE
State: relaxed

POSCAR file:
```
Ca2Nd3Tl3
1.0
-1.966 2.793 11.571
1.966 -2.793 11.571
1.966 2.793 -11.571
Ca Nd Tl
2 3 3
Direct
0.235 0.235 0.000
0.765 0.765 0.000
0.000 0.000 0.000
0.382 0.882 0.500
0.618 0.118 0.500
0.125 0.625 0.500
0.500 0.500 0.000
0.875 0.375 0.500
```

---

Material: CaNd5Tl4
Method: DFT, PBE
State: relaxed

Results
E above lowest polymorph, eV per formula unit: 2.12

POSCAR file:
```
CaNd5Tl4
1.0
8.504 0.000 0.000
0.000 9.450 0.000
0.000 0.000 8.766
Ca Nd Tl
2 10 8
Direct
0.250 0.250 0.084
0.750 0.750 0.916
0.008 0.050 0.733
0.008 0.450 0.733
0.250 0.750 0.657
0.492 0.050 0.733
0.492 0.450 0.733
0.508 0.550 0.267
0.508 0.950 0.267
0.750 0.250 0.343
0.992 0.550 0.267
0.992 0.950 0.267
0.084 0.250 0.442
0.250 0.587 0.995
0.250 0.913 0.995
0.416 0.250 0.442
0.584 0.750 0.558
0.750 0.087 0.005
0.750 0.413 0.005
0.916 0.750 0.558
```

---

Material: Ca2NdTl
Method: DFT, PBE
State: relaxed

Results
E above lowest polymorph, eV per formula unit: 0.39

POSCAR file:
```
Ca2NdTl
1.0
1.885 1.088 11.318
-1.885 1.088 11.318
0.000 -2.177 11.318
Ca Nd Tl
2 1 1
Direct
0.000 0.000 0.000
0.186 0.186 0.186
0.759 0.759 0.759
0.593 0.593 0.593
```

---

Material: CaNd2Tl2
Method: DFT, PBE
State: relaxed

Results
E above lowest polymorph, eV per formula unit: 0.01

POSCAR file:
```
CaNd2Tl2
1.0
8.637 0.000 0.000
0.000 8.637 0.000
0.000 0.000 4.296
Ca Nd Tl
2 4 4
Direct
0.000 0.000 0.000
0.500 0.500 0.000
0.171 0.329 0.500
0.329 0.829 0.500
0.671 0.171 0.500
0.829 0.671 0.500
0.130 0.630 0.000
0.370 0.130 0.000
0.630 0.870 0.000
0.870 0.370 0.000
```

---

Material: Ca4Nd3Tl4
Method: DFT, PBE
State: relaxed

POSCAR file:
```
Ca4Nd3Tl4
1.0
-2.703 3.728 8.795
2.703 -3.728 8.795
2.703 3.728 -8.795
Ca Nd Tl
4 3 4
Direct
0.050 0.820 0.230
0.411 0.180 0.230
0.589 0.820 0.770
0.950 0.180 0.770
0.000 0.500 0.500
0.401 0.401 0.000
0.599 0.599 0.000
0.183 0.683 0.500
0.294 0.000 0.294
0.706 0.000 0.706
0.817 0.317 0.500
```

---

Material: CaNdTl6
Method: DFT, PBE
State: relaxed

POSCAR file:
```
CaNdTl6
1.0
4.834 0.000 0.000
0.000 4.834 0.000
0.000 0.000 9.734
Ca Nd Tl
1 1 6
Direct
0.000 0.000 0.000
0.000 0.000 0.500
0.000 0.500 0.250
0.000 0.500 0.750
0.500 0.000 0.250
0.500 0.000 0.750
0.500 0.500 0.000
0.500 0.500 0.500
```

---

| no. | energy relative to the elements (eV/f.u.) | N(E_F) (states/eV per atom) |
| --- | --- | --- |
| 1 | -1.7 | 0.5587 |
| 2 | -5.2 | 0.6275 |
| 3 | -1.1 | 1.0722 |
| 4 | -3.1 | 0.7752 |
| 5 | -1.6 | 0.4705 |
| 6 | -3.2 | 0.6424 |
| 7 | -2.0 | 1.2469 |
| 8 | -0.7 | 1.0650 |
| 9 | -0.4 | 1.2367 |
| 10 | -1.7 | 1.3367 |
| 11 | -2.8 | 0.6162 |
| 12 | -2.1 | 0.5456 |